Entry 1:
NaInSn4 | PBE | relaxed

a = 5.848 Å, b = 5.848 Å, c = 5.981 Å
α = 101.19°, β = 101.19°, γ = 119.78°
Atoms (fractional coordinates):
Na1 0.000 0.000 0.000
In1 0.500 0.500 0.500
Sn1 0.170 0.830 0.500
Sn2 0.336 0.664 0.000
Sn3 0.664 0.336 0.000
Sn4 0.830 0.170 0.500

- Formation energy: -0.036 eV/atom
- E above lowest polymorph: 0.034 eV/atom
- Magnetic moment: 0.0 μB per cell

=====

Entry 2:
NaIn2Sn | PBE | relaxed

a = 6.451 Å, b = 4.875 Å, c = 7.878 Å
α = 90.00°, β = 96.97°, γ = 90.00°
Atoms (fractional coordinates):
Na1 0.090 0.250 0.324
Na2 0.910 0.750 0.676
In1 0.275 0.750 0.051
In2 0.492 0.750 0.402
In3 0.508 0.250 0.598
In4 0.725 0.250 0.949
Sn1 0.203 0.250 0.844
Sn2 0.797 0.750 0.156

- Formation energy: -0.044 eV/atom
- Magnetic moment: 0.0 μB per cell

=====

Entry 3:
NaIn3Sn2 | PBE | relaxed

a = 7.194 Å, b = 7.194 Å, c = 5.009 Å
α = 90.00°, β = 90.00°, γ = 140.94°
Atoms (fractional coordinates):
Na1 0.000 0.000 0.000
In1 0.168 0.832 0.500
In2 0.500 0.500 0.500
In3 0.832 0.168 0.500
Sn1 0.326 0.674 0.000
Sn2 0.674 0.326 0.000

- Formation energy: -0.046 eV/atom
- E above lowest polymorph: 0.000 eV/atom
- Magnetic moment: 0.0 μB per cell